VASP calculation (GGA-PBE) on a geometry-optimized Tm2Be4Ir5 structure.

## Properties
E_tot: -75.3 eV for the cell shown
space-group type: Fmmm (69)
formation energy: -0.653 eV per atom

Cell and atoms, written as CIF:
```
data_Tm2Be4Ir5
_chemical_formula_sum 'Tm2 Be4 Ir5'
_space_group_name_H-M_alt 'P 1'
_space_group_IT_number 1
_cell_length_a 5.660
_cell_length_b 5.453
_cell_length_c 6.813
_cell_angle_alpha 77.55
_cell_angle_beta 65.46
_cell_angle_gamma 58.74
loop_
_space_group_symop_operation_xyz
'x,y,z'
loop_
_atom_site_label
_atom_site_fract_x
_atom_site_fract_y
_atom_site_fract_z
Ir1 0.500 0.500 0.000
Ir2 0.000 0.500 0.000
Ir3 0.250 0.500 0.500
Ir4 0.500 0.000 0.000
Ir5 0.750 0.500 0.500
Tm1 0.135 0.000 0.730
Tm2 0.865 0.000 0.270
Be1 0.790 0.686 0.734
Be2 0.524 0.686 0.266
Be3 0.476 0.314 0.734
Be4 0.210 0.314 0.266
```